(w)
## YBeNb3 (PBE)

Data for crystalline YBeNb3 at its relaxed geometry.

a b c (Å): 4.912 4.912 4.912
angles (deg): 90.00 90.00 90.00
Space group Pm-3m (No. 221)
Unique sites:
1 Y 0.000 0.000 0.000 (multiplicity 1)
2 Be 0.500 0.500 0.500 (multiplicity 1)
3 Nb 0.000 0.000 0.500 (multiplicity 3)

For the density, the calculation gives 5.28 g/cm3.

***

(x)
## YBeNb3 (PBE)

Data for crystalline YBeNb3 at its relaxed geometry.

a b c (Å): 4.626 4.626 4.626
angles (deg): 90.00 90.00 90.00
Space group Pm-3m (No. 221)
Unique sites:
1 Y 0.000 0.000 0.000 (multiplicity 1)
2 Be 0.500 0.500 0.500 (multiplicity 1)
3 Nb 0.000 0.500 0.500 (multiplicity 3)

For the density, the calculation gives 6.32 g/cm3.

***

Q: Which of them is the most stable? A: (x).